Entry 1:
Crystalline CeHoAlCd at its relaxed geometry, computed with PBE.

Values from the calculation:
For the total energy, the calculation gives -64.9 eV for the cell shown. For the formation enthalpy at 0 K, the calculation gives -102 kJ/mol of formula units. The crystal system is cubic. The calculation puts the total moment at 0.51 μB per formula unit.

Lattice parameters (Å, degrees): 7.4143 7.4143 7.4143 90.00 90.00 90.00
Space group F-43m (No. 216)
One atom of each set of equivalent atoms:
Ce (0.0000, 0.0000, 0.0000) x4
Ho (0.0000, 0.0000, 0.5000) x4
Al (0.2500, 0.2500, 0.2500) x4
Cd (0.2500, 0.2500, 0.7500) x4

Entry 2:
Crystalline U3Sb4Ir3 at its relaxed geometry, computed with PBE.

Values from the calculation:
The value obtained for the uncorrected formation energy is -0.48 eV per atom. For the total energy, the calculation gives -327.0 eV for the cell shown. The crystal system is cubic. The calculation puts the total moment at 3.10 μB per formula unit.

Lattice parameters (Å, degrees): 9.6090 9.6090 9.6090 90.00 90.00 90.00
Space group I-43d (No. 220)
One atom of each set of equivalent atoms:
U (0.0000, 0.2500, 0.3750) x12
Sb (0.0885, 0.0885, 0.0885) x16
Ir (0.0000, 0.2500, 0.8750) x12

Entry 3:
Crystalline NaGa3H at its relaxed geometry, computed with PBE.

Values from the calculation:
For the total energy, the calculation gives -12.8 eV for the cell shown. Its energy above the lowest structure with this stoichiometry is 0 meV per atom. The crystal system is cubic. The calculation puts the total moment at 0.00 μB per formula unit.

Lattice parameters (Å, degrees): 4.4074 4.4074 4.4074 90.00 90.00 90.00
Space group Pm-3m (No. 221)
One atom of each set of equivalent atoms:
Na (0.0000, 0.0000, 0.0000) x1
Ga (0.0000, 0.5000, 0.5000) x3
H (0.5000, 0.5000, 0.5000) x1

Entry 4:
Crystalline ScCu2Rh2 at its relaxed geometry, computed with PBE.

Values from the calculation:
For the total energy, the calculation gives -60.4 eV for the cell shown. Its energy above the lowest structure with this stoichiometry is 48 meV per atom. For the formation enthalpy at 0 K, the calculation gives -93 kJ/mol of formula units. The crystal system is tetragonal. The calculation puts the total moment at 0.00 μB per formula unit.

Lattice parameters (Å, degrees): 3.4049 3.4049 13.3270 90.00 90.00 90.00
Space group I4/mmm (No. 139)
One atom of each set of equivalent atoms:
Sc (0.0000, 0.0000, 0.0000) x2
Cu (0.0000, 0.5000, 0.2500) x4
Rh (0.0000, 0.0000, 0.3957) x4